Record 1
DFT (PBE-GGA) results for KAcTe3Pb after structural relaxation.

Properties
magnetic moment: 0.00 μB/atom
E_form (uncorrected): -1.05 eV per atom
symmetry: P2_1/m (11)

Cell: 4.7048 9.3784 12.4710 Å, 105.52 90.00 90.00°
Last column: nearest neighbours and their distance in Å.
Fractional positions:
K  0.2500  0.2310  0.2598  5 Te 3.55-3.86
K  0.7500  0.7690  0.7402  5 Te 3.55-3.86
Ac  0.2500  0.6539  0.1563  6 Te 3.31-3.38
Ac  0.7500  0.3461  0.8437  6 Te 3.31-3.38
Te  0.7500  0.9191  0.2216  1 Pb 3.00
Te  0.2500  0.0809  0.7784  1 Pb 3.00
Te  0.2500  0.6426  0.4247  2 Pb 3.07, 1 Ac 3.38
Te  0.7500  0.3574  0.5753  2 Pb 3.07, 1 Ac 3.38
Te  0.7500  0.3960  0.1165  3 Ac 3.31, 2 K 3.55
Te  0.2500  0.6040  0.8835  3 Ac 3.31, 2 K 3.55
Pb  0.2500  0.1410  0.5540  3 Te 3.00-3.07
Pb  0.7500  0.8590  0.4460  3 Te 3.00-3.07

=====

Record 2
DFT (PBE-GGA) results for KAcTlPb after structural relaxation.

Properties
magnetic moment: 0.00 μB/atom
energy: -3.0469 eV per atom
symmetry: F-43m (216)

Cell: 5.8800 5.8800 5.8800 Å, 60.00 60.00 60.00°
Last column: nearest neighbours and their distance in Å.
Fractional positions:
Pb  0.0000  0.0000  0.0000  4 K 3.60, 4 Ac 3.60
Ac  0.2500  0.2500  0.2500  4 Tl 3.60, 4 Pb 3.60
K  0.7500  0.7500  0.7500  4 Pb 3.60, 4 Tl 3.60
Tl  0.5000  0.5000  0.5000  4 Ac 3.60, 4 K 3.60

=====

Record 3
DFT (PBE-GGA) results for KAcPd10 after structural relaxation.

Properties
magnetic moment: 0.00 μB/atom
energy: -5.0297 eV per atom
symmetry: Pmmm (47)

Cell: 4.4517 5.5074 9.4652 Å, 90.00 90.00 90.00°
Last column: nearest neighbours and their distance in Å.
Fractional positions:
K  0.0000  0.5000  0.5000  10 Pd 3.17-3.54
Ac  0.0000  0.0000  0.0000  14 Pd 3.14-3.50
Pd  0.0000  0.0000  0.3313  6 Pd 2.73-2.74
Pd  0.0000  0.5000  0.8352  6 Pd 2.72-2.74
Pd  0.0000  0.5000  0.1648  6 Pd 2.72-2.74
Pd  0.0000  0.0000  0.6687  6 Pd 2.73-2.74
Pd  0.5000  0.0000  0.5000  8 Pd 2.74-2.76
Pd  0.5000  0.5000  0.0000  8 Pd 2.71-2.72
Pd  0.5000  0.2475  0.2463  8 Pd 2.71-2.78
Pd  0.5000  0.7525  0.7537  8 Pd 2.71-2.78
Pd  0.5000  0.7525  0.2463  8 Pd 2.71-2.78
Pd  0.5000  0.2475  0.7537  8 Pd 2.71-2.78

=====

Record 4
DFT (PBE-GGA) results for KAc2Pd after structural relaxation.

Properties
magnetic moment: 0.00 μB/atom
energy: -3.8926 eV per atom
symmetry: R-3m (166)

Cell: 4.4457 4.4457 12.1872 Å, 79.49 79.49 60.00°
Last column: nearest neighbours and their distance in Å.
Fractional positions:
Ac  0.1214  0.1214  0.6357  3 Pd 3.03
Ac  0.8786  0.8786  0.3643  3 Pd 3.03
K  0.0000  0.0000  0.0000  2 Ac 4.34, 6 K 4.45
Pd  0.5000  0.5000  0.5000  6 Ac 3.03

=====

Question: magnetic moment of number 4 (KAc2Pd)?
Answer: 0.00 μB/atom